Entry one
A plane-wave DFT calculation with PBE-GGA was carried out for crystalline PaPtRh2 at its relaxed geometry.

Results
M_tot   0.0 μB/f.u.
SG   No. 166
N(E_F)   2.43 states/eV/f.u.

a b c (Å): 4.7422 4.7422 4.5646
angles (deg): 58.70 58.70 60.00
Fractional positions:
Rh1 0.7295 0.7295 0.8114
Rh2 0.2705 0.2705 0.1886
Pa1 0.5000 0.5000 0.5000
Pt1 0.0000 0.0000 0.0000

Entry two
A plane-wave DFT calculation with PBE-GGA was carried out for crystalline PaPtRh2 at its relaxed geometry.

Results
M_tot   0.0 μB/f.u.
SG   No. 123
N(E_F)   3.48 states/eV/f.u.

a b c (Å): 3.9694 4.1528 4.1528
angles (deg): 90.00 90.00 90.00
Fractional positions:
Rh1 0.0000 0.5000 0.0000
Rh2 0.0000 0.0000 0.5000
Pt1 0.5000 0.0000 0.0000
Pa1 0.5000 0.5000 0.5000

We find entry two to be the most stable, with the next structure 0.272 eV/atom higher.